Entry 1:
## YHo2Zr3N6 (PBE)

Data for crystalline YHo2Zr3N6 at its relaxed geometry.

Cell lengths 5.778, 5.778, 5.833 Å; angles 99.55, 99.55, 119.91 degrees
Atoms (fractional coordinates):
Y: 0.000 0.000 0.000
Ho: 0.333 0.667 0.000
Ho: 0.667 0.333 0.000
Zr: 0.167 0.833 0.500
Zr: 0.500 0.500 0.500
Zr: 0.833 0.167 0.500
N: 0.089 0.424 0.266
N: 0.246 0.246 0.734
N: 0.424 0.089 0.266
N: 0.576 0.911 0.734
N: 0.754 0.754 0.266
N: 0.911 0.576 0.734

For the volume, the calculation gives 159 Å³/f.u. As for the energy relative to the elements, uncorrected: -20.8 eV per formula unit.



Entry 2:
## PrTmAlNi (PBE)

Data for crystalline PrTmAlNi at its relaxed geometry.

Cell lengths 5.047, 5.047, 5.047 Å; angles 60.00, 60.00, 60.00 degrees
Atoms (fractional coordinates):
Pr: 0.000 0.000 0.000
Tm: 0.500 0.500 0.500
Al: 0.250 0.250 0.250
Ni: 0.750 0.750 0.750

For the volume, the calculation gives 91 Å³/f.u. As for the energy of formation from the pure elements: -0.2464 eV/atom.



Entry 3:
## Tl3PtO (PBE)

Data for crystalline Tl3PtO at its relaxed geometry.

Cell lengths 5.275, 5.275, 5.275 Å; angles 90.00, 90.00, 90.00 degrees
Atoms (fractional coordinates):
Tl: 0.000 0.000 0.500
Tl: 0.000 0.500 0.000
Tl: 0.500 0.000 0.000
Pt: 0.000 0.000 0.000
O: 0.500 0.500 0.500

For the volume, the calculation gives 147 Å³/f.u. As for the offset from the most stable computed form: 0.35 eV per formula unit. As for the energy relative to the elements, uncorrected: 0.9 eV per formula unit.



Entry 4:
## SrTePCl2 (PBE)

Data for crystalline SrTePCl2 at its relaxed geometry.

Cell lengths 5.481, 5.481, 5.104 Å; angles 90.00, 90.00, 90.00 degrees
Atoms (fractional coordinates):
Sr: 0.000 0.000 0.000
Te: 0.500 0.500 0.500
P: 0.500 0.500 0.000
Cl: 0.000 0.500 0.500
Cl: 0.500 0.000 0.500

For the volume, the calculation gives 153 Å³/f.u. As for the offset from the most stable computed form: 0.00 eV per formula unit. As for the energy relative to the elements, uncorrected: -2.4 eV per formula unit.



Entry 5:
## Hf2VInMo (PBE)

Data for crystalline Hf2VInMo at its relaxed geometry.

Cell lengths 5.105, 5.105, 4.463 Å; angles 90.00, 90.00, 90.00 degrees
Atoms (fractional coordinates):
Hf: 0.000 0.500 0.000
Hf: 0.500 0.000 0.000
V: 0.000 0.000 0.500
In: 0.500 0.500 0.500
Mo: 0.000 0.000 0.000

For the volume, the calculation gives 116 Å³/f.u. As for the energy of formation from the pure elements: 0.7915 eV/atom.



Entry 6:
## La3HCl (PBE)

Data for crystalline La3HCl at its relaxed geometry.

Cell lengths 5.015, 5.015, 5.015 Å; angles 90.00, 90.00, 90.00 degrees
Atoms (fractional coordinates):
La: 0.000 0.000 0.500
La: 0.000 0.500 0.000
La: 0.500 0.000 0.000
H: 0.000 0.000 0.000
Cl: 0.500 0.500 0.500

For the volume, the calculation gives 126 Å³/f.u. As for the offset from the most stable computed form: 0.00 eV per formula unit.



Entry 7:
## HfNbHg2Br (PBE)

Data for crystalline HfNbHg2Br at its relaxed geometry.

Cell lengths 5.478, 5.478, 5.075 Å; angles 90.00, 90.00, 90.00 degrees
Atoms (fractional coordinates):
Hf: 0.000 0.000 0.000
Nb: 0.000 0.000 0.500
Hg: 0.000 0.500 0.500
Hg: 0.500 0.000 0.500
Br: 0.500 0.500 0.000

For the volume, the calculation gives 152 Å³/f.u. As for the energy relative to the elements, uncorrected: 3.7 eV per formula unit.



Entry 8:
## SrTlW (PBE)

Data for crystalline SrTlW at its relaxed geometry.

Cell lengths 3.249, 3.249, 7.973 Å; angles 90.00, 90.00, 120.00 degrees
Atoms (fractional coordinates):
Sr: 0.000 0.000 0.000
Tl: 0.667 0.333 0.374
W: 0.333 0.667 0.672

For the volume, the calculation gives 73 Å³/f.u. As for the offset from the most stable computed form: 0.42 eV per formula unit. As for the energy of formation from the pure elements: 1.0130 eV/atom.



Entry 9:
## LiPaCdIr (PBE)

Data for crystalline LiPaCdIr at its relaxed geometry.

Cell lengths 4.761, 4.761, 4.761 Å; angles 60.00, 60.00, 60.00 degrees
Atoms (fractional coordinates):
Li: 0.000 0.000 0.000
Pa: 0.750 0.750 0.750
Cd: 0.250 0.250 0.250
Ir: 0.500 0.500 0.500

For the volume, the calculation gives 76 Å³/f.u. As for the energy of formation from the pure elements: -0.2307 eV/atom.



Entry 10:
## RbSc3Tl (PBE)

Data for crystalline RbSc3Tl at its relaxed geometry.

Cell lengths 5.162, 5.162, 5.162 Å; angles 90.00, 90.00, 90.00 degrees
Atoms (fractional coordinates):
Rb: 0.000 0.000 0.000
Sc: 0.000 0.000 0.500
Sc: 0.000 0.500 0.000
Sc: 0.500 0.000 0.000
Tl: 0.500 0.500 0.500

For the volume, the calculation gives 138 Å³/f.u. As for the offset from the most stable computed form: 3.97 eV per formula unit. As for the energy of formation from the pure elements: 1.3771 eV/atom.



Entry 11:
## Ca2CdInN (PBE)

Data for crystalline Ca2CdInN at its relaxed geometry.

Cell lengths 4.901, 4.901, 4.712 Å; angles 90.00, 90.00, 90.00 degrees
Atoms (fractional coordinates):
Ca: 0.000 0.500 0.000
Ca: 0.500 0.000 0.000
Cd: 0.000 0.000 0.500
In: 0.500 0.500 0.500
N: 0.500 0.500 0.000

For the volume, the calculation gives 113 Å³/f.u. As for the offset from the most stable computed form: 0.00 eV per formula unit. As for the energy relative to the elements, uncorrected: -1.9 eV per formula unit.



Entry 12:
## CaCo2Ir (PBE)

Data for crystalline CaCo2Ir at its relaxed geometry.

Cell lengths 4.156, 5.512, 5.512 Å; angles 29.13, 90.00, 90.00 degrees
Atoms (fractional coordinates):
Ca: 0.000 0.000 0.000
Co: 0.000 0.746 0.746
Co: 0.500 0.635 0.635
Ir: 0.500 0.329 0.329

For the volume, the calculation gives 61 Å³/f.u. As for the energy of formation from the pure elements: 0.2318 eV/atom.



The lowest volume belongs to which entry?
CaCo2Ir



Among the records above, which one has the highest volume?
YHo2Zr3N6



Which of these has the lowest volume?
CaCo2Ir



Which of these has the lowest volume?
CaCo2Ir